1.
Here is a relaxed structure of Y2CdSb4 from the Alexandria database. Energies are from PBE.

Structure (CIF):
```
data_Y2CdSb4
_space_group_name_H-M_alt 'P -4 m 2'
_space_group_IT_number 115
_space_group_name_Hall 'P -4 -2'
_cell_length_a 4.311
_cell_length_b 4.311
_cell_length_c 10.661
_cell_angle_alpha 90.00
_cell_angle_beta 90.00
_cell_angle_gamma 90.00
loop_
_atom_site_label
_atom_site_type_symbol
_atom_site_fract_x
_atom_site_fract_y
_atom_site_fract_z
_atom_site_occupancy
Y1 Y 0.000 0.500 0.231 1
Cd1 Cd 0.000 0.000 0.500 1
Sb1 Sb 0.000 0.000 0.000 1
Sb2 Sb 0.000 0.500 0.680 1
Sb3 Sb 0.500 0.500 0.000 1
```

Results
Calculated volume ... 28.30 Å³ per atom
Final energy ... -4.98 eV/atom
DOS(E_F) ... 3.14 states/eV/f.u.
E_form (uncorrected) ... -0.6428 eV per atom

=====

2.
Here is a relaxed structure of Zn2BiRuF from the Alexandria database. Energies are from PBE.

Structure (CIF):
```
data_Zn2BiRuF
_space_group_name_H-M_alt 'P 4/m m m'
_space_group_IT_number 123
_space_group_name_Hall '-P 4 2'
_cell_length_a 5.418
_cell_length_b 5.418
_cell_length_c 5.293
_cell_angle_alpha 90.00
_cell_angle_beta 90.00
_cell_angle_gamma 90.00
loop_
_atom_site_label
_atom_site_type_symbol
_atom_site_fract_x
_atom_site_fract_y
_atom_site_fract_z
_atom_site_occupancy
Zn1 Zn 0.000 0.500 0.000 1
Bi1 Bi 0.000 0.000 0.000 1
Ru1 Ru 0.000 0.000 0.500 1
F1 F 0.500 0.500 0.500 1
```

Results
Calculated volume ... 31.08 Å³ per atom
Final energy ... -2.74 eV/atom
DOS(E_F) ... 5.46 states/eV/f.u.
E_form (uncorrected) ... 0.7713 eV per atom

=====

3.
Here is a relaxed structure of Ca3Te2 from the Alexandria database. Energies are from PBE.

Structure (CIF):
```
data_Ca3Te2
_space_group_name_H-M_alt 'R -3 m'
_space_group_IT_number 166
_space_group_name_Hall '-R 3 2"'
_cell_length_a 4.4094
_cell_length_b 4.4094
_cell_length_c 32.4325
_cell_angle_alpha 90.00
_cell_angle_beta 90.00
_cell_angle_gamma 120.00
loop_
_atom_site_label
_atom_site_type_symbol
_atom_site_fract_x
_atom_site_fract_y
_atom_site_fract_z
_atom_site_occupancy
Ca1 Ca 0.0000 0.0000 0.0000 1
Ca2 Ca 0.0000 0.0000 0.2167 1
Te1 Te 0.0000 0.0000 0.3917 1
```

Results
Calculated volume ... 36.41 Å³ per atom
Energy above the lowest structure with this stoichiometry ... 0 meV per atom
Final energy ... -3.69 eV/atom
DOS(E_F) ... 0.63 states/eV/f.u.
E_form (uncorrected) ... -1.2344 eV per atom

=====

Copy entry 2 word for word.
Here is a relaxed structure of Zn2BiRuF from the Alexandria database. Energies are from PBE.

Structure (CIF):
```
data_Zn2BiRuF
_space_group_name_H-M_alt 'P 4/m m m'
_space_group_IT_number 123
_space_group_name_Hall '-P 4 2'
_cell_length_a 5.418
_cell_length_b 5.418
_cell_length_c 5.293
_cell_angle_alpha 90.00
_cell_angle_beta 90.00
_cell_angle_gamma 90.00
loop_
_atom_site_label
_atom_site_type_symbol
_atom_site_fract_x
_atom_site_fract_y
_atom_site_fract_z
_atom_site_occupancy
Zn1 Zn 0.000 0.500 0.000 1
Bi1 Bi 0.000 0.000 0.000 1
Ru1 Ru 0.000 0.000 0.500 1
F1 F 0.500 0.500 0.500 1
```

Results
Calculated volume ... 31.08 Å³ per atom
Final energy ... -2.74 eV/atom
DOS(E_F) ... 5.46 states/eV/f.u.
E_form (uncorrected) ... 0.7713 eV per atom

=====

> Which of these has the highest E_form (uncorrected)?

Zn2BiRuF

=====

> The highest calculated volume belongs to which entry?

Ca3Te2

=====

> Look up the final energy of the third one.

-3.69 eV/atom